CuAsPb2 | PBE | relaxed

Properties
space group	C2/m, No. 12
M_tot	0.000	μB/atom
ΔE_f	194.5	meV/atom
D(E_F)	0.4662	states/eV per atom
raw total energy	-0.283	Ry/atom
crystal system	monoclinic

Cell: 4.185 4.185 7.010 Å, 107.12 107.12 59.92°
Sites, in units of the cell vectors:
Cu (0.000, 0.000, 0.000)
As (0.500, 0.500, 0.500)
Pb (0.254, 0.254, 0.767)
Pb (0.746, 0.746, 0.233)


HfSc2Sb3 | PBE | relaxed

Properties
space group	I4/mmm, No. 139
M_tot	0.000	μB/atom
D(E_F)	0.4218	states/eV per atom
raw total energy	-0.484	Ry/atom
crystal system	tetragonal
E_form (uncorrected)	-72.82	kJ per mole of atoms

Cell: 9.257 9.257 9.257 Å, 154.17 154.17 36.85°
Sites, in units of the cell vectors:
Hf (0.000, 0.000, 0.000)
Sc (0.332, 0.332, 0.000)
Sc (0.668, 0.668, 0.000)
Sb (0.166, 0.166, 0.000)
Sb (0.500, 0.500, 0.000)
Sb (0.834, 0.834, 0.000)


Pr6SmY3 | PBE | relaxed

Properties
space group	Cmc2_1, No. 36
M_tot	0.000	μB/atom
offset from the most stable computed form	69	meV per atom
ΔE_f	131.4	meV/atom
D(E_F)	1.4321	states/eV per atom
raw total energy	-0.378	Ry/atom
crystal system	orthorhombic

Cell: 11.308 11.308 6.353 Å, 90.00 90.00 120.49°
Sites, in units of the cell vectors:
Pr (0.039, 0.961, 0.500)
Pr (0.055, 0.473, 0.972)
Pr (0.281, 0.719, 0.243)
Pr (0.291, 0.374, 0.141)
Pr (0.374, 0.291, 0.641)
Pr (0.473, 0.055, 0.472)
Pr (0.527, 0.945, 0.972)
Pr (0.626, 0.709, 0.141)
Pr (0.709, 0.626, 0.641)
Pr (0.719, 0.281, 0.743)
Pr (0.945, 0.527, 0.472)
Pr (0.961, 0.039, 0.000)
Sm (0.199, 0.801, 0.713)
Sm (0.801, 0.199, 0.213)
Y (0.057, 0.285, 0.562)
Y (0.285, 0.057, 0.062)
Y (0.385, 0.615, 0.679)
Y (0.615, 0.385, 0.179)
Y (0.715, 0.943, 0.562)
Y (0.943, 0.715, 0.062)


Pr2YSc | PBE | relaxed

Properties
space group	R3m, No. 160
M_tot	0.000	μB/atom
offset from the most stable computed form	23	meV per atom
ΔE_f	61.5	meV/atom
D(E_F)	1.4937	states/eV per atom
raw total energy	-0.406	Ry/atom
crystal system	trigonal

Cell: 11.687 11.687 11.687 Å, 17.66 17.66 17.66°
Sites, in units of the cell vectors:
Pr (0.000, 0.000, 0.000)
Pr (0.173, 0.173, 0.173)
Y (0.754, 0.754, 0.754)
Sc (0.586, 0.586, 0.586)


Copy entry 2 word for word.
HfSc2Sb3 | PBE | relaxed

Properties
space group	I4/mmm, No. 139
M_tot	0.000	μB/atom
D(E_F)	0.4218	states/eV per atom
raw total energy	-0.484	Ry/atom
crystal system	tetragonal
E_form (uncorrected)	-72.82	kJ per mole of atoms

Cell: 9.257 9.257 9.257 Å, 154.17 154.17 36.85°
Sites, in units of the cell vectors:
Hf (0.000, 0.000, 0.000)
Sc (0.332, 0.332, 0.000)
Sc (0.668, 0.668, 0.000)
Sb (0.166, 0.166, 0.000)
Sb (0.500, 0.500, 0.000)
Sb (0.834, 0.834, 0.000)


Q: Number 4 is which compound?
A: Pr2YSc


What did the fourth record say?
Pr2YSc | PBE | relaxed

Properties
space group	R3m, No. 160
M_tot	0.000	μB/atom
offset from the most stable computed form	23	meV per atom
ΔE_f	61.5	meV/atom
D(E_F)	1.4937	states/eV per atom
raw total energy	-0.406	Ry/atom
crystal system	trigonal

Cell: 11.687 11.687 11.687 Å, 17.66 17.66 17.66°
Sites, in units of the cell vectors:
Pr (0.000, 0.000, 0.000)
Pr (0.173, 0.173, 0.173)
Y (0.754, 0.754, 0.754)
Sc (0.586, 0.586, 0.586)